First-principles (GGA-PBE) data for an optimized crystal structure of AcPm2Ir, as listed in the Alexandria database.

Properties
Its uncorrected energy is -6.07 eV per atom. The magnetic moment is 0.00 μB/f.u.

Cell lengths 7.5113, 10.0464, 6.6587 Å; angles 90.00, 90.00, 90.00 degrees
Space group Pnma (No. 62)
Inequivalent atoms, fractional coordinates:
Ac: 0.0389 0.2500 0.1432 x4
Pm: 0.1731 0.0691 0.6695 x8
Ir: 0.1184 0.7500 0.4205 x4